# CaPmSc2 | the Alexandria database | PBE | optimized geometry
# Excess energy over the best structure of this formula in the dataset (eV per formula unit): 0.21
# ΔE_f (eV per atom): 0.1999
data_CaPmSc2
_symmetry_space_group_name_H-M 'P 1'
_symmetry_Int_Tables_number 1
_cell_length_a 4.851
_cell_length_b 4.973
_cell_length_c 4.973
_cell_angle_alpha 90.00
_cell_angle_beta 90.00
_cell_angle_gamma 90.00
loop_
_symmetry_equiv_pos_as_xyz
'x,y,z'
loop_
_atom_site_label
_atom_site_type_symbol
_atom_site_fract_x
_atom_site_fract_y
_atom_site_fract_z
Ca1 Ca 0.500 0.500 0.500
Pm1 Pm 0.500 0.000 0.000
Sc1 Sc 0.000 0.000 0.500
Sc2 Sc 0.000 0.500 0.000

=====

# Ca3Pm3ScSe8 | the Alexandria database | PBE | optimized geometry
# Formation energy from raw total energies (eV per atom): -1.8992
data_Ca3Pm3ScSe8
_symmetry_space_group_name_H-M 'P 1'
_symmetry_Int_Tables_number 1
_cell_length_a 8.288
_cell_length_b 8.287
_cell_length_c 8.390
_cell_angle_alpha 119.60
_cell_angle_beta 90.00
_cell_angle_gamma 120.00
loop_
_symmetry_equiv_pos_as_xyz
'x,y,z'
loop_
_atom_site_label
_atom_site_type_symbol
_atom_site_fract_x
_atom_site_fract_y
_atom_site_fract_z
Se1 Se 0.237 0.474 0.737
Se2 Se 0.763 0.526 0.263
Se3 Se 0.237 0.000 0.263
Pm1 Pm 0.500 0.500 0.500
Sc1 Sc 0.000 0.000 0.500
Ca1 Ca 0.000 0.500 0.000
Pm2 Pm 0.500 0.000 0.500
Pm3 Pm 0.000 0.500 0.500
Se4 Se 0.237 0.000 0.737
Se5 Se 0.763 0.000 0.737
Ca2 Ca 0.500 0.500 0.000
Se6 Se 0.763 0.000 0.263
Ca3 Ca 0.000 0.000 0.000
Se7 Se 0.751 0.503 0.754
Se8 Se 0.249 0.497 0.246

=====

Across the entries above, total magnetization takes the values 0.0; 0.0 μB/f.u., respectively.